Below is a geometry-optimized BePb2WO6 structure, with properties calculated at the PBE with a Hubbard U level.

a b c (Å): 5.713 5.466 6.722
angles (deg): 125.27 128.63 75.81
Atoms (fractional coordinates):
O (0.218, 0.272, 0.999)
O (0.280, 0.216, 0.409)
O (0.284, 0.716, 0.953)
O (0.713, 0.288, 0.021)
O (0.784, 0.721, 0.914)
O (0.728, 0.782, 0.509)
Pb (0.259, 0.741, 0.590)
Pb (0.769, 0.231, 0.507)
Be (0.479, 0.521, 0.115)
W (0.985, 0.015, 0.980)

Output
Magnetization in Bohr magnetons per cell: 0.000
SG: No. 8
Fermi-level density of states in states/eV/cell: 0.00
Total DFT energy (no corrections) in eV for the cell shown: -65.408